Entry 1:
NbTeMoN2: optimized geometry, GGA-PBEsol.

Density of states at the Fermi level (states/eV/cell): 5.98
M_tot (Bohr magnetons per cell): 1.76
Crystal system: tetragonal
Formation energy (no corrections) (meV/atom): 729
Theoretical density (g cm⁻³): 6.80

Geometry as CIF:
```
data_NbTeMoN2
_symmetry_space_group_name_H-M 'P 4/m m m'
_symmetry_Int_Tables_number 123
_symmetry_space_group_name_Hall '-P 4 2'
_cell_length_a 3.927
_cell_length_b 3.927
_cell_length_c 5.455
_cell_angle_alpha 90.00
_cell_angle_beta 90.00
_cell_angle_gamma 90.00
loop_
_atom_site_label
_atom_site_type_symbol
_atom_site_fract_x
_atom_site_fract_y
_atom_site_fract_z
Nb1 Nb 0.000 0.000 0.000
Te1 Te 0.500 0.500 0.000
Mo1 Mo 0.500 0.500 0.500
N1 N 0.000 0.500 0.500
```

=====

Entry 2:
POs: optimized geometry, GGA-PBEsol.

Density of states at the Fermi level (states/eV/cell): 6.28
M_tot (Bohr magnetons per cell): 0.00
DFT formation energy (meV per atom): 50
Crystal system: monoclinic
Theoretical density (g cm⁻³): 13.19

Geometry as CIF:
```
data_POs
_symmetry_space_group_name_H-M 'C 1 m 1'
_symmetry_Int_Tables_number 8
_cell_length_a 11.566
_cell_length_b 2.850
_cell_length_c 5.351
_cell_angle_alpha 90.00
_cell_angle_beta 108.66
_cell_angle_gamma 90.00
loop_
_symmetry_equiv_pos_as_xyz
'x,y,z'
'x,-y,z'
'x+1/2,y+1/2,z'
'x+1/2,-y+1/2,z'
loop_
_atom_site_label
_atom_site_type_symbol
_atom_site_fract_x
_atom_site_fract_y
_atom_site_fract_z
P1 P 0.000 0.000 0.000
P2 P 0.037 0.000 0.464
P3 P 0.202 0.500 0.185
Os1 Os 0.207 0.500 0.624
Os2 Os 0.332 0.000 0.054
Os3 Os 0.413 0.000 0.624
```

=====

Entry 3:
Na2B3HO6: optimized geometry, GGA-PBEsol.

Density of states at the Fermi level (states/eV/cell): 0.00
M_tot (Bohr magnetons per cell): 0.00
Total DFT energy (no corrections) (hartree per atom): -0.261
Crystal system: monoclinic
Theoretical density (g cm⁻³): 2.38

Geometry as CIF:
```
data_Na2B3HO6
_symmetry_space_group_name_H-M 'P 1 21/c 1'
_symmetry_Int_Tables_number 14
_cell_length_a 8.684
_cell_length_b 11.917
_cell_length_c 9.497
_cell_angle_alpha 90.00
_cell_angle_beta 95.76
_cell_angle_gamma 90.00
loop_
_symmetry_equiv_pos_as_xyz
'x,y,z'
'-x,-y,-z'
'-x,y+1/2,-z+1/2'
'x,-y+1/2,z+1/2'
loop_
_atom_site_label
_atom_site_type_symbol
_atom_site_fract_x
_atom_site_fract_y
_atom_site_fract_z
Na1 Na 0.026 0.146 0.043
Na2 Na 0.087 0.617 0.942
Na3 Na 0.407 0.158 0.068
Na4 Na 0.433 0.634 0.068
B1 B 0.144 0.182 0.320
B2 B 0.180 0.046 0.780
B3 B 0.264 0.094 0.543
B4 B 0.285 0.666 0.651
B5 B 0.313 0.016 0.293
B6 B 0.452 0.092 0.764
H1 H 0.048 0.540 0.683
H2 H 0.069 0.749 0.177
O1 O 0.019 0.240 0.253
O2 O 0.061 0.022 0.863
O3 O 0.155 0.039 0.635
O4 O 0.170 0.185 0.465
O5 O 0.191 0.744 0.583
O6 O 0.221 0.580 0.727
O7 O 0.232 0.120 0.236
O8 O 0.305 0.008 0.445
O9 O 0.320 0.073 0.849
O10 O 0.397 0.144 0.626
O11 O 0.445 0.674 0.651
O12 O 0.468 0.016 0.248
```

=====

Entry 4:
ZrTaMnI2: optimized geometry, GGA-PBEsol.

Density of states at the Fermi level (states/eV/cell): 6.73
M_tot (Bohr magnetons per cell): 0.95
Crystal system: tetragonal
Formation energy (no corrections) (meV/atom): 1059
Theoretical density (g cm⁻³): 8.54

Geometry as CIF:
```
data_ZrTaMnI2
_symmetry_space_group_name_H-M 'P 4/m m m'
_symmetry_Int_Tables_number 123
_symmetry_space_group_name_Hall '-P 4 2'
_cell_length_a 4.964
_cell_length_b 4.964
_cell_length_c 4.585
_cell_angle_alpha 90.00
_cell_angle_beta 90.00
_cell_angle_gamma 90.00
loop_
_atom_site_label
_atom_site_type_symbol
_atom_site_fract_x
_atom_site_fract_y
_atom_site_fract_z
Zr1 Zr 0.000 0.000 0.000
Ta1 Ta 0.500 0.500 0.000
Mn1 Mn 0.500 0.500 0.500
I1 I 0.000 0.500 0.500
```

=====

Entry 5:
Sb28Mo9Ru3: optimized geometry, GGA-PBEsol.

Density of states at the Fermi level (states/eV/cell): 45.73
M_tot (Bohr magnetons per cell): 0.00
Crystal system: monoclinic
Formation energy (no corrections) (meV/atom): -141
Theoretical density (g cm⁻³): 8.93

Geometry as CIF:
```
data_Sb28Mo9Ru3
_symmetry_space_group_name_H-M 'C 1 m 1'
_symmetry_Int_Tables_number 8
_cell_length_a 13.421
_cell_length_b 9.439
_cell_length_c 13.442
_cell_angle_alpha 90.00
_cell_angle_beta 90.27
_cell_angle_gamma 90.00
loop_
_symmetry_equiv_pos_as_xyz
'x,y,z'
'x,-y,z'
'x+1/2,y+1/2,z'
'x+1/2,-y+1/2,z'
loop_
_atom_site_label
_atom_site_type_symbol
_atom_site_fract_x
_atom_site_fract_y
_atom_site_fract_z
Sb1 Sb 0.000 0.162 0.000
Sb2 Sb 0.000 0.337 0.500
Sb3 Sb 0.036 0.000 0.626
Sb4 Sb 0.038 0.000 0.374
Sb5 Sb 0.038 0.500 0.127
Sb6 Sb 0.038 0.500 0.874
Sb7 Sb 0.162 0.162 0.837
Sb8 Sb 0.162 0.337 0.662
Sb9 Sb 0.163 0.163 0.163
Sb10 Sb 0.164 0.337 0.338
Sb11 Sb 0.285 0.500 0.876
Sb12 Sb 0.288 0.000 0.624
Sb13 Sb 0.288 0.500 0.124
Sb14 Sb 0.289 0.000 0.376
Sb15 Sb 0.325 0.163 0.999
Sb16 Sb 0.326 0.337 0.500
Sb17 Sb 0.413 0.250 0.749
Sb18 Sb 0.414 0.250 0.250
Mo1 Mo 0.161 0.341 0.001
Mo2 Mo 0.162 0.158 0.500
Mo3 Mo 0.333 0.500 0.672
Mo4 Mo 0.489 0.000 0.673
Mo5 Mo 0.489 0.500 0.173
Mo6 Mo 0.490 0.000 0.327
Mo7 Mo 0.490 0.500 0.830
Ru1 Ru 0.332 0.000 0.170
Ru2 Ru 0.332 0.000 0.831
Ru3 Ru 0.333 0.500 0.329
```

=====

Entry 6:
KBa2Cr: optimized geometry, GGA-PBEsol.

Density of states at the Fermi level (states/eV/cell): 4.64
M_tot (Bohr magnetons per cell): 4.72
DFT formation energy (meV per atom): 670
Crystal system: monoclinic
Theoretical density (g cm⁻³): 2.90

Geometry as CIF:
```
data_KBa2Cr
_symmetry_space_group_name_H-M 'P 1 m 1'
_symmetry_Int_Tables_number 6
_cell_length_a 4.740
_cell_length_b 4.578
_cell_length_c 9.927
_cell_angle_alpha 90.00
_cell_angle_beta 103.76
_cell_angle_gamma 90.00
loop_
_symmetry_equiv_pos_as_xyz
'x,y,z'
'x,-y,z'
loop_
_atom_site_label
_atom_site_type_symbol
_atom_site_fract_x
_atom_site_fract_y
_atom_site_fract_z
K1 K 0.000 0.000 0.000
Ba1 Ba 0.309 0.000 0.621
Ba2 Ba 0.667 0.500 0.334
Cr1 Cr 0.848 0.500 0.698
```

=====

Entry 7:
HgBPS2: optimized geometry, GGA-PBEsol.

Density of states at the Fermi level (states/eV/cell): 3.67
M_tot (Bohr magnetons per cell): 1.24
Crystal system: tetragonal
Formation energy (no corrections) (meV/atom): 1917
Theoretical density (g cm⁻³): 4.23

Geometry as CIF:
```
data_HgBPS2
_symmetry_space_group_name_H-M 'P 4/m m m'
_symmetry_Int_Tables_number 123
_symmetry_space_group_name_Hall '-P 4 2'
_cell_length_a 4.964
_cell_length_b 4.964
_cell_length_c 4.883
_cell_angle_alpha 90.00
_cell_angle_beta 90.00
_cell_angle_gamma 90.00
loop_
_atom_site_label
_atom_site_type_symbol
_atom_site_fract_x
_atom_site_fract_y
_atom_site_fract_z
Hg1 Hg 0.000 0.000 0.000
B1 B 0.500 0.500 0.500
P1 P 0.000 0.000 0.500
S1 S 0.000 0.500 0.000
```

=====

Entry 8:
TlTcP: optimized geometry, GGA-PBEsol.

Density of states at the Fermi level (states/eV/cell): 9.72
M_tot (Bohr magnetons per cell): 0.01
DFT formation energy (meV per atom): 762
Crystal system: cubic
Theoretical density (g cm⁻³): 10.23

Geometry as CIF:
```
data_TlTcP
_symmetry_space_group_name_H-M 'F -4 3 m'
_symmetry_Int_Tables_number 216
_symmetry_space_group_name_Hall 'F -4 2 3'
_cell_length_a 6.004
_cell_length_b 6.004
_cell_length_c 6.004
_cell_angle_alpha 90.00
_cell_angle_beta 90.00
_cell_angle_gamma 90.00
loop_
_atom_site_label
_atom_site_type_symbol
_atom_site_fract_x
_atom_site_fract_y
_atom_site_fract_z
Tl1 Tl 0.000 0.000 0.000
Tc1 Tc 0.000 0.000 0.500
P1 P 0.250 0.250 0.250
```

=====

Entry 9:
RbTlC2N: optimized geometry, GGA-PBEsol.

Density of states at the Fermi level (states/eV/cell): 5.76
M_tot (Bohr magnetons per cell): 4.28
Crystal system: tetragonal
Formation energy (no corrections) (meV/atom): 2739
Theoretical density (g cm⁻³): 5.61

Geometry as CIF:
```
data_RbTlC2N
_symmetry_space_group_name_H-M 'P 4/m m m'
_symmetry_Int_Tables_number 123
_symmetry_space_group_name_Hall '-P 4 2'
_cell_length_a 4.617
_cell_length_b 4.617
_cell_length_c 4.556
_cell_angle_alpha 90.00
_cell_angle_beta 90.00
_cell_angle_gamma 90.00
loop_
_atom_site_label
_atom_site_type_symbol
_atom_site_fract_x
_atom_site_fract_y
_atom_site_fract_z
Rb1 Rb 0.000 0.000 0.000
Tl1 Tl 0.500 0.500 0.500
C1 C 0.000 0.500 0.500
N1 N 0.500 0.500 0.000
```

=====

Entry 10:
TcGe2Ir: optimized geometry, GGA-PBEsol.

Density of states at the Fermi level (states/eV/cell): 3.79
M_tot (Bohr magnetons per cell): 0.00
DFT formation energy (meV per atom): -200
Crystal system: cubic
Theoretical density (g cm⁻³): 13.00

Geometry as CIF:
```
data_TcGe2Ir
_symmetry_space_group_name_H-M 'F m -3 m'
_symmetry_Int_Tables_number 225
_symmetry_space_group_name_Hall '-F 4 2 3'
_cell_length_a 6.060
_cell_length_b 6.060
_cell_length_c 6.060
_cell_angle_alpha 90.00
_cell_angle_beta 90.00
_cell_angle_gamma 90.00
loop_
_atom_site_label
_atom_site_type_symbol
_atom_site_fract_x
_atom_site_fract_y
_atom_site_fract_z
Tc1 Tc 0.000 0.000 0.000
Ge1 Ge 0.250 0.250 0.250
Ir1 Ir 0.000 0.000 0.500
```

=====

Entry 11:
CsBaSe2Br: optimized geometry, GGA-PBEsol.

Density of states at the Fermi level (states/eV/cell): 3.12
M_tot (Bohr magnetons per cell): 0.00
Crystal system: tetragonal
Formation energy (no corrections) (meV/atom): -541
Theoretical density (g cm⁻³): 4.18

Geometry as CIF:
```
data_CsBaSe2Br
_symmetry_space_group_name_H-M 'P 4/m m m'
_symmetry_Int_Tables_number 123
_symmetry_space_group_name_Hall '-P 4 2'
_cell_length_a 5.704
_cell_length_b 5.704
_cell_length_c 6.201
_cell_angle_alpha 90.00
_cell_angle_beta 90.00
_cell_angle_gamma 90.00
loop_
_atom_site_label
_atom_site_type_symbol
_atom_site_fract_x
_atom_site_fract_y
_atom_site_fract_z
Cs1 Cs 0.000 0.000 0.000
Ba1 Ba 0.500 0.500 0.500
Se1 Se 0.000 0.500 0.000
Br1 Br 0.000 0.000 0.500
```

=====

Entry 12:
CsSnF3: optimized geometry, GGA-PBEsol.

Density of states at the Fermi level (states/eV/cell): 0.00
M_tot (Bohr magnetons per cell): 0.00
Crystal system: monoclinic
Formation energy (no corrections) (meV/atom): -2526
Theoretical density (g cm⁻³): 4.77

Geometry as CIF:
```
data_CsSnF3
_symmetry_space_group_name_H-M 'P 1 21/c 1'
_symmetry_Int_Tables_number 14
_cell_length_a 4.515
_cell_length_b 6.642
_cell_length_c 15.003
_cell_angle_alpha 90.00
_cell_angle_beta 107.33
_cell_angle_gamma 90.00
loop_
_symmetry_equiv_pos_as_xyz
'x,y,z'
'-x,-y,-z'
'-x,y+1/2,-z+1/2'
'x,-y+1/2,z+1/2'
loop_
_atom_site_label
_atom_site_type_symbol
_atom_site_fract_x
_atom_site_fract_y
_atom_site_fract_z
Cs1 Cs 0.105 0.029 0.356
Sn1 Sn 0.366 0.033 0.114
F1 F 0.113 0.572 0.364
F2 F 0.299 0.193 0.547
F3 F 0.487 0.201 0.236
```